1.
# PBE LaZn4Ag12, optimized geometry
# Fermi-level density of states in states/eV/f.u.: 4.8
# Formation energy from the elements in eV/atom: 0.217
# Space-group type: Im-3 (204)
# Total DFT energy (no corrections) in eV per atom: -2.39
data_LaZn4Ag12
_chemical_formula_sum 'La1 Zn4 Ag12'
_cell_length_a 7.778
_cell_length_b 7.778
_cell_length_c 7.778
_cell_angle_alpha 109.47
_cell_angle_beta 109.47
_cell_angle_gamma 109.47
_space_group_name_H-M_alt 'P 1'
_space_group_IT_number 1
loop_
_space_group_symop_operation_xyz
'x,y,z'
loop_
_atom_site_label
_atom_site_type_symbol
_atom_site_fract_x
_atom_site_fract_y
_atom_site_fract_z
La1 La 0.000 0.000 0.000
Zn1 Zn 0.000 0.500 0.000
Zn2 Zn 0.500 0.000 0.000
Zn3 Zn 0.500 0.500 0.500
Zn4 Zn 0.000 0.000 0.500
Ag1 Ag 0.843 0.346 0.189
Ag2 Ag 0.346 0.503 0.157
Ag3 Ag 0.811 0.157 0.654
Ag4 Ag 0.346 0.189 0.843
Ag5 Ag 0.189 0.843 0.346
Ag6 Ag 0.654 0.497 0.843
Ag7 Ag 0.503 0.157 0.346
Ag8 Ag 0.497 0.843 0.654
Ag9 Ag 0.654 0.811 0.157
Ag10 Ag 0.843 0.654 0.497
Ag11 Ag 0.157 0.346 0.503
Ag12 Ag 0.157 0.654 0.811

***

2.
# PBE LaZnAg2, optimized geometry
# Fermi-level density of states in states/eV/f.u.: 2.8
# Formation energy from the elements in eV/atom: -0.048
# Space-group type: P4/mmm (123)
# Total DFT energy (no corrections) in eV per atom: -3.02
data_LaZnAg2
_chemical_formula_sum 'La1 Zn1 Ag2'
_cell_length_a 4.603
_cell_length_b 4.603
_cell_length_c 4.450
_cell_angle_alpha 90.00
_cell_angle_beta 90.00
_cell_angle_gamma 90.00
_space_group_name_H-M_alt 'P 1'
_space_group_IT_number 1
loop_
_space_group_symop_operation_xyz
'x,y,z'
loop_
_atom_site_label
_atom_site_type_symbol
_atom_site_fract_x
_atom_site_fract_y
_atom_site_fract_z
Ag1 Ag 0.000 0.000 0.000
Ag2 Ag 0.500 0.500 0.000
La1 La 0.500 0.000 0.500
Zn1 Zn 0.000 0.500 0.500

***

3.
# PBE La4ZnAg3, optimized geometry
# Fermi-level density of states in states/eV/f.u.: 7.4
# Formation energy from the elements in eV/atom: -0.275
# Space-group type: P4/mmm (123)
# Total DFT energy (no corrections) in eV per atom: -3.97
# ΔE to the lowest computed polymorph in kJ/mol of formula units: 0
data_La4ZnAg3
_chemical_formula_sum 'La4 Zn1 Ag3'
_cell_length_a 3.834
_cell_length_b 3.834
_cell_length_c 15.019
_cell_angle_alpha 90.00
_cell_angle_beta 90.00
_cell_angle_gamma 90.00
_space_group_name_H-M_alt 'P 1'
_space_group_IT_number 1
loop_
_space_group_symop_operation_xyz
'x,y,z'
loop_
_atom_site_label
_atom_site_type_symbol
_atom_site_fract_x
_atom_site_fract_y
_atom_site_fract_z
Zn1 Zn 0.500 0.500 0.000
Ag1 Ag 0.500 0.500 0.248
Ag2 Ag 0.500 0.500 0.500
Ag3 Ag 0.500 0.500 0.752
La1 La 0.000 0.000 0.880
La2 La 0.000 0.000 0.120
La3 La 0.000 0.000 0.373
La4 La 0.000 0.000 0.627

***

4.
# PBE La2Zn3Ag5, optimized geometry
# Fermi-level density of states in states/eV/f.u.: 5.4
# Formation energy from the elements in eV/atom: -0.231
# Space-group type: Ibam (72)
# Total DFT energy (no corrections) in eV per atom: -3.02
data_La2Zn3Ag5
_chemical_formula_sum 'La4 Zn6 Ag10'
_cell_length_a 5.791
_cell_length_b 9.187
_cell_length_c 9.187
_cell_angle_alpha 71.57
_cell_angle_beta 71.63
_cell_angle_gamma 71.63
_space_group_name_H-M_alt 'P 1'
_space_group_IT_number 1
loop_
_space_group_symop_operation_xyz
'x,y,z'
loop_
_atom_site_label
_atom_site_type_symbol
_atom_site_fract_x
_atom_site_fract_y
_atom_site_fract_z
La1 La 0.149 0.565 0.138
La2 La 0.649 0.138 0.565
La3 La 0.851 0.435 0.862
La4 La 0.351 0.862 0.435
Zn1 Zn 0.347 0.565 0.741
Zn2 Zn 0.847 0.741 0.565
Zn3 Zn 0.653 0.435 0.259
Zn4 Zn 0.153 0.259 0.435
Zn5 Zn 0.250 0.000 0.000
Zn6 Zn 0.750 0.000 0.000
Ag1 Ag 0.420 0.266 0.894
Ag2 Ag 0.920 0.894 0.266
Ag3 Ag 0.580 0.734 0.106
Ag4 Ag 0.080 0.106 0.734
Ag5 Ag 0.447 0.803 0.803
Ag6 Ag 0.553 0.197 0.197
Ag7 Ag 0.750 0.500 0.500
Ag8 Ag 0.250 0.500 0.500
Ag9 Ag 0.053 0.197 0.197
Ag10 Ag 0.947 0.803 0.803